Here is a geometry-optimized ThBi2Au structure from Alexandria. Energies are from GGA-PBE.

Space group = R-3m
ΔH_f (0 K) = 0.149 eV/atom
Total energy = -4.466 eV/atom
D(E_F) = 4.121 states/eV/cell

Lattice parameters (Å, degrees): 9.6183 9.6183 9.6183 27.11 27.11 27.11
Closest atoms and distances in Å follow each position.
Fractional positions:
Th 0.0000 0.0000 0.0000  6 Bi 3.25
Bi 0.4034 0.4034 0.4034  1 Au 2.68
Bi 0.5966 0.5966 0.5966  1 Au 2.68
Au 0.5000 0.5000 0.5000  2 Bi 2.68